Density functional theory data (GGA-PBE) for a relaxed HfZr2N crystal.

a = 6.5505 Å, b = 6.5505 Å, c = 8.0454 Å
α = 90.00°, β = 90.00°, γ = 90.00°
Last column: nearest neighbours and their distance in Å.
Space group I-42d (No. 122)
Unique sites:
Hf (0.0000, 0.0000, 0.0000) [4 per cell]  8 Zr 3.15-3.52
Zr (0.1192, 0.7500, 0.6250) [8 per cell]  2 N 2.07
N (0.0000, 0.0000, 0.5000) [4 per cell]  4 Zr 2.07

Summary:
The size of the total moment comes out at 0.0000 μB/atom. The energy relative to the elements, uncorrected is -0.2112 eV per atom. Its volume is 345 Å³ per cell.